# 1
Material: NpAg3Te3
Method: DFT, PBE
State: relaxed

The space group is R-3 (No. 148, hexagonal axes) and the conventional cell measures 7.9100, 7.9100 and 21.8834 Å, with angles of 90.00, 90.00 and 120.00 degrees. The inequivalent atoms are Np at (0.0000, 0.0000, 0.1665), Ag at (0.0007, 0.6452, 0.3731) and Te at (0.0010, 0.3221, 0.4256).

For the total DFT energy (no corrections), the calculation gives -4.7004 eV per atom. The calculation puts the uncorrected formation energy at -0.28 eV/atom.

=====

# 2
Material: NpAgTe4
Method: DFT, PBE
State: relaxed

The space group is P2_1/m (No. 11) and the conventional cell measures 6.2974, 9.5048 and 6.6370 Å, with angles of 90.00, 99.49 and 90.00 degrees. The inequivalent atoms are Np at (0.0152, 0.2500, 0.4075), Ag at (0.4937, 0.7500, 0.0571), Te at (0.0591, 0.7500, 0.0973), Te at (0.2178, 0.0326, 0.7553) and Te at (0.4897, 0.7500, 0.6347).

For the total DFT energy (no corrections), the calculation gives -4.9203 eV per atom. The calculation puts the uncorrected formation energy at -0.19 eV/atom.

=====

# 3
Material: NpAg2Te3
Method: DFT, PBE
State: relaxed

The space group is P2_1/m (No. 11) and the conventional cell measures 7.2110, 4.4730 and 11.6856 Å, with angles of 90.00, 96.61 and 90.00 degrees. The inequivalent atoms are Np at (0.0586, 0.2500, 0.1793), Ag at (0.0087, 0.7500, 0.4180), Ag at (0.3847, 0.7500, 0.0556), Te at (0.2113, 0.2500, 0.9346), Te at (0.2139, 0.7500, 0.6467) and Te at (0.3164, 0.7500, 0.2840).

For the total DFT energy (no corrections), the calculation gives -4.9967 eV per atom. The calculation puts the uncorrected formation energy at -0.32 eV/atom.

=====

# 4
Material: NpTl2AgTe4
Method: DFT, PBE
State: relaxed

The space group is P2/m (No. 10) and the conventional cell measures 7.4432, 4.4081 and 8.4985 Å, with angles of 90.00, 108.61 and 90.00 degrees. The inequivalent atoms are Np at (0.0000, 0.0000, 0.0000), Tl at (0.0000, 0.5000, 0.5000), Tl at (0.5000, 0.0000, 0.5000), Ag at (0.5000, 0.5000, 0.0000), Te at (0.2308, 0.5000, 0.2182) and Te at (0.2653, 0.0000, 0.7950).

For the total DFT energy (no corrections), the calculation gives -4.4603 eV per atom. The calculation puts the uncorrected formation energy at -0.32 eV/atom.

=====

What is the total DFT energy (no corrections) in the fourth record?
-4.4603 eV per atom